VASP calculation (PBE) on a relaxed structure of CdSnO3.

Calculated values
V ... 12.43 Å³/atom
Total energy ... -105.75 eV per cell

Lattice parameters (Å, degrees): 6.861 6.861 6.861 109.47 109.47 109.47
Element x y z (fractional)
O1 0.516 0.809 0.707
Cd1 0.500 0.000 0.500
Cd2 0.500 0.500 0.000
O2 0.191 0.293 0.484
O3 0.707 0.899 0.191
O4 0.707 0.516 0.809
Sn1 0.500 0.000 0.000
O5 0.293 0.101 0.809
O6 0.191 0.707 0.899
Sn2 0.500 0.500 0.500
O7 0.293 0.484 0.191
Sn3 0.000 0.000 0.500
O8 0.899 0.191 0.707
O9 0.809 0.293 0.101
Sn4 0.000 0.500 0.000
O10 0.101 0.809 0.293
Cd3 0.000 0.000 0.000
Cd4 0.000 0.500 0.500
O11 0.809 0.707 0.516
O12 0.484 0.191 0.293